(1)
6
Lattice="2.4473 -6.2560 0.0000 2.4473 6.2560 0.0000 -1.7702 0.0000 3.3033" Properties=species:S:1:pos:R:3 comment="CaPdO | Alexandria via LeMat-Bulk | PBE-GGA | optimized geometry" space_group="Cm (8)" pbc="T T T"
Ca 2.4473 4.1877 0.0000
Ca 2.4473 -4.1877 0.0000
Pd 0.2013 0.0000 1.9048
Pd 2.6897 0.0000 1.0304
O 2.7244 2.0972 0.9613
O 2.7244 -2.0972 0.9613

=====

(2)
22
Lattice="7.0751 0.0000 0.0000 0.0000 7.0751 0.0000 0.0000 0.0000 4.8778" Properties=species:S:1:pos:R:3 comment="Mg4NF6 | Alexandria via LeMat-Bulk | PBE-GGA | optimized geometry" space_group="P4_2/nmc (137)" pbc="T T T"
Mg 0.0673 1.7688 0.2346
Mg 1.7688 0.0673 2.6735
Mg 1.7688 3.4702 2.6735
Mg 3.4702 1.7688 0.2346
Mg 3.6048 5.3063 4.6432
Mg 5.3063 3.6048 2.2043
Mg 5.3063 7.0078 2.2043
Mg 7.0078 5.3063 4.6432
N 1.7688 5.3063 3.6584
N 5.3063 1.7688 1.2195
F 0.3491 3.8867 1.2195
F 0.3491 6.7259 1.2195
F 1.7688 1.7688 1.5759
F 1.7688 1.7688 4.0148
F 3.1884 3.8867 1.2195
F 3.1884 6.7259 1.2195
F 3.8867 0.3491 3.6584
F 3.8867 3.1884 3.6584
F 5.3063 5.3063 0.8630
F 5.3063 5.3063 3.3020
F 6.7259 0.3491 3.6584
F 6.7259 3.1884 3.6584

=====

(3)
4
Lattice="1.6674 0.9627 9.3916 -1.6674 0.9627 9.3916 0.0000 -1.9254 9.3916" Properties=species:S:1:pos:R:3 comment="ReSb2Cl | Alexandria via LeMat-Bulk | PBE-GGA | optimized geometry" de_polymorph_mev_per_atom=300 space_group="R3m (160)" pbc="T T T"
Re 0.0000 0.0000 0.0000
Sb 0.0000 0.0000 7.5399
Sb 0.0000 0.0000 14.3425
Cl 0.0000 0.0000 20.5838

=====

Number 1: formation energy (no corrections) -1460 meV per atom. Number 2: formation energy (no corrections) -2771 meV per atom. Number 3: formation energy (no corrections) 413 meV per atom.